Material: BaBi2Au4
Method: DFT, PBE
State: relaxed

## Properties
The volume is 366 Å³/cell. The raw total energy is -24.890 eV per formula unit. For the formation energy, the calculation gives -0.299 eV/atom.

```
data_BaBi2Au4
_chemical_formula_sum 'Ba2 Bi4 Au8'
_cell_length_a 7.5691
_cell_length_b 7.5691
_cell_length_c 6.3844
_cell_angle_alpha 90.00
_cell_angle_beta 90.00
_cell_angle_gamma 90.00
_space_group_name_H-M_alt 'I 4/m m m'
_space_group_IT_number 139
_space_group_name_Hall '-I 4 2'
loop_
_atom_site_label
_atom_site_type_symbol
_atom_site_fract_x
_atom_site_fract_y
_atom_site_fract_z
Ba1 Ba 0.0000 0.0000 0.0000
Bi1 Bi 0.0000 0.5000 0.2500
Au1 Au 0.1882 0.1882 0.5000
```

---

Material: YErRuRh
Method: DFT, PBE
State: relaxed

## Properties
The volume is 315 Å³/cell. The raw total energy is -30.206 eV per formula unit. For the formation energy, the calculation gives -0.638 eV/atom.

```
data_YErRuRh
_chemical_formula_sum 'Y4 Er4 Ru4 Rh4'
_cell_length_a 6.8044
_cell_length_b 6.8044
_cell_length_c 6.8044
_cell_angle_alpha 90.00
_cell_angle_beta 90.00
_cell_angle_gamma 90.00
_space_group_name_H-M_alt 'F -4 3 m'
_space_group_IT_number 216
_space_group_name_Hall 'F -4 2 3'
loop_
_atom_site_label
_atom_site_type_symbol
_atom_site_fract_x
_atom_site_fract_y
_atom_site_fract_z
Y1 Y 0.0000 0.0000 0.0000
Er1 Er 0.0000 0.0000 0.5000
Ru1 Ru 0.2500 0.2500 0.7500
Rh1 Rh 0.2500 0.2500 0.2500
```

---

Material: SrCrSe2Br
Method: DFT, PBE
State: relaxed

## Properties
The volume is 129 Å³/cell. The uncorrected formation energy is -0.96 eV per atom. The raw total energy is -24.745 eV per formula unit.

```
data_SrCrSe2Br
_chemical_formula_sum 'Sr1 Cr1 Se2 Br1'
_cell_length_a 5.0175
_cell_length_b 5.0175
_cell_length_c 5.1050
_cell_angle_alpha 90.00
_cell_angle_beta 90.00
_cell_angle_gamma 90.00
_space_group_name_H-M_alt 'P 4/m m m'
_space_group_IT_number 123
_space_group_name_Hall '-P 4 2'
loop_
_atom_site_label
_atom_site_type_symbol
_atom_site_fract_x
_atom_site_fract_y
_atom_site_fract_z
Sr1 Sr 0.0000 0.0000 0.0000
Cr1 Cr 0.5000 0.5000 0.5000
Se1 Se 0.0000 0.5000 0.5000
Br1 Br 0.5000 0.5000 0.0000
```

---

Material: CdRhCl2
Method: DFT, PBE
State: relaxed

## Properties
The volume is 154 Å³/cell. The uncorrected formation energy is 0.08 eV per atom. The raw total energy is -11.630 eV per formula unit.

```
data_CdRhCl2
_chemical_formula_sum 'Cd2 Rh2 Cl4'
_cell_length_a 3.7656
_cell_length_b 3.7656
_cell_length_c 10.8706
_cell_angle_alpha 90.00
_cell_angle_beta 90.00
_cell_angle_gamma 90.00
_space_group_name_H-M_alt 'I -4 m 2'
_space_group_IT_number 119
_space_group_name_Hall 'I -4 -2'
loop_
_atom_site_label
_atom_site_type_symbol
_atom_site_fract_x
_atom_site_fract_y
_atom_site_fract_z
Cd1 Cd 0.0000 0.0000 0.0000
Rh1 Rh 0.0000 0.5000 0.2500
Cl1 Cl 0.0000 0.0000 0.5000
Cl2 Cl 0.0000 0.5000 0.7500
```